1.
DFT (PBE-GGA) results for Ti4AlZn after structural relaxation.

ΔE to the lowest computed polymorph in meV/atom: 406
Mass density in g cm⁻³: 4.1
Fermi-level density of states in states/eV/f.u.: 9.0
Space group: No. 12
Calculated formation energy in meV per atom: 327
Magnetic moment in μB/f.u.: 0.0

abc: 4.3232 4.3231 7.4720
angles: 73.26 73.18 60.00
Fractional coordinates of all 6 atoms:
Ti (0.6265, 0.6266, 0.1204)
Ti (0.3735, 0.3734, 0.8796)
Ti (0.1234, 0.1239, 0.6294)
Ti (0.8766, 0.8761, 0.3706)
Al (0.5000, 0.5000, 0.5000)
Zn (0.0000, 0.0000, 0.0000)

---

2.
DFT (PBE-GGA) results for Ti6Al2Zn after structural relaxation.

ΔE to the lowest computed polymorph in meV/atom: 0
Mass density in g cm⁻³: 4.5
Fermi-level density of states in states/eV/f.u.: 10.3
Space group: No. 12
Calculated formation energy in meV per atom: -218
Magnetic moment in μB/f.u.: 0.0

abc: 2.9182 9.8870 7.0576
angles: 48.26 89.96 98.46
Fractional coordinates of all 9 atoms:
Ti (0.9434, 0.3872, 0.2846)
Ti (0.0566, 0.6128, 0.7154)
Ti (0.7245, 0.9490, 0.3771)
Ti (0.8369, 0.1735, 0.8360)
Ti (0.1631, 0.8265, 0.1640)
Ti (0.2754, 0.0510, 0.6229)
Al (0.3891, 0.2783, 0.0700)
Al (0.6109, 0.7217, 0.9300)
Zn (0.5000, 0.5000, 0.5000)

---

3.
DFT (PBE-GGA) results for Ti6Al2Zn after structural relaxation.

ΔE to the lowest computed polymorph in meV/atom: 530
Mass density in g cm⁻³: 3.9
Fermi-level density of states in states/eV/f.u.: 11.5
Space group: No. 71
Calculated formation energy in meV per atom: 313
Magnetic moment in μB/f.u.: 0.0

abc: 4.3442 6.1166 7.5034
angles: 114.05 106.86 90.00
Fractional coordinates of all 9 atoms:
Ti (0.1652, 0.4141, 0.3305)
Ti (0.8348, 0.0836, 0.6695)
Ti (0.8348, 0.5859, 0.6695)
Ti (0.5000, 0.2461, 0.0000)
Ti (0.1652, 0.9164, 0.3305)
Ti (0.5000, 0.7539, 0.0000)
Al (0.6664, 0.6665, 0.3330)
Al (0.3336, 0.3335, 0.6670)
Zn (0.0000, 0.0000, 0.0000)

---

4.
DFT (PBE-GGA) results for Ti2Al6Zn after structural relaxation.

Mass density in g cm⁻³: 3.6
Fermi-level density of states in states/eV/f.u.: 7.0
Space group: No. 65
Calculated formation energy in meV per atom: -161
Magnetic moment in μB/f.u.: 0.0

abc: 2.9519 7.2930 7.8425
angles: 117.71 89.98 90.00
Fractional coordinates of all 9 atoms:
Ti (0.5002, 0.6873, 0.3746)
Ti (0.4998, 0.3127, 0.6254)
Al (0.0005, 0.3430, 0.3221)
Al (0.9995, 0.0209, 0.6779)
Al (0.9995, 0.6570, 0.6779)
Al (0.5000, 0.3134, 0.0000)
Al (0.0005, 0.9791, 0.3221)
Al (0.5000, 0.6866, 0.0000)
Zn (0.0000, 0.0000, 0.0000)

---

5.
DFT (PBE-GGA) results for Ti9Al2Zn after structural relaxation.

Mass density in g cm⁻³: 4.6
Fermi-level density of states in states/eV/f.u.: 14.2
Space group: No. 123
Calculated formation energy in meV per atom: -211
Magnetic moment in μB/f.u.: 0.0

abc: 4.0363 4.0363 12.1018
angles: 90.00 90.00 90.00
Fractional coordinates of all 12 atoms:
Ti (0.5000, 0.5000, 0.0000)
Ti (0.5000, 0.5000, 0.3320)
Ti (0.5000, 0.5000, 0.6680)
Ti (0.5000, 0.0000, 0.1662)
Ti (0.5000, 0.0000, 0.5000)
Ti (0.5000, 0.0000, 0.8338)
Ti (0.0000, 0.5000, 0.1662)
Ti (0.0000, 0.5000, 0.5000)
Ti (0.0000, 0.5000, 0.8338)
Al (0.0000, 0.0000, 0.3320)
Al (0.0000, 0.0000, 0.6680)
Zn (0.0000, 0.0000, 0.0000)

---

6.
DFT (PBE-GGA) results for Ti5Al2Zn2 after structural relaxation.

Mass density in g cm⁻³: 4.6
Fermi-level density of states in states/eV/f.u.: 10.2
Space group: No. 46
Calculated formation energy in meV per atom: 0
Magnetic moment in μB/f.u.: 0.0

abc: 8.7719 5.3159 8.3052
angles: 108.67 121.92 90.00
Fractional coordinates of all 18 atoms:
Ti (0.2180, 0.6117, 0.8965)
Ti (0.7820, 0.7152, 0.1035)
Ti (0.1784, 0.1117, 0.8966)
Ti (0.8216, 0.2151, 0.1034)
Ti (0.3203, 0.0927, 0.3067)
Ti (0.6797, 0.7860, 0.6933)
Ti (0.4866, 0.5925, 0.3064)
Ti (0.5134, 0.2861, 0.6936)
Ti (0.1450, 0.9536, 0.4999)
Ti (0.8550, 0.4537, 0.5001)
Al (0.1402, 0.5286, 0.1892)
Al (0.8598, 0.3394, 0.8108)
Al (0.5490, 0.0285, 0.1890)
Al (0.4510, 0.8395, 0.8110)
Zn (0.0000, 0.8677, 0.0000)
Zn (0.5000, 0.3676, 0.0000)
Zn (0.1696, 0.4412, 0.4999)
Zn (0.8304, 0.9413, 0.5001)